No. 1
This record from Alexandria describes a relaxed structure of AcPm4Ir4. The functional is PBE.

The formation energy is -0.56 eV per atom. The total energy comes out at -7.07 eV/atom. For the size of the total moment, the calculation gives 0.00 μB per formula unit. As for the crystal system: tetragonal.

The space group is P4_2/n (No. 86, origin choice 2) and the conventional cell measures 9.252, 9.252 and 5.769 Å, with angles of 90.00, 90.00 and 90.00 degrees. The inequivalent atoms are Ac at (0.250, 0.250, 0.250), Pm at (0.083, 0.653, 0.150) and Ir at (0.039, 0.613, 0.648).

No. 2
This record from Alexandria describes a relaxed structure of CaHgIO2. The functional is PBE.

The total energy comes out at -3.26 eV/atom. For the energy above the most stable polymorph in this dataset, the calculation gives 0.0 meV per atom. For the size of the total moment, the calculation gives 0.30 μB per formula unit. The value obtained for the energy relative to the elements, uncorrected is -0.506 eV per atom. As for the crystal system: tetragonal.

The space group is P4/mmm (No. 123) and the conventional cell measures 4.388, 4.388 and 6.712 Å, with angles of 90.00, 90.00 and 90.00 degrees. The inequivalent atoms are Ca at (0.000, 0.000, 0.000), Hg at (0.500, 0.500, 0.500), I at (0.000, 0.000, 0.500) and O at (0.000, 0.500, 0.000).

No. 3
This record from Alexandria describes a relaxed structure of TbDy2Al. The functional is PBE.

The formation energy is -0.04 eV per atom. The total energy comes out at -4.43 eV/atom. For the energy above the most stable polymorph in this dataset, the calculation gives 162.8 meV per atom. For the size of the total moment, the calculation gives 0.46 μB per formula unit. As for the crystal system: cubic.

The space group is Fm-3m (No. 225) and the conventional cell measures 7.566, 7.566 and 7.566 Å, with angles of 90.00, 90.00 and 90.00 degrees. The inequivalent atoms are Tb at (0.000, 0.000, 0.000), Dy at (0.250, 0.250, 0.250) and Al at (0.000, 0.000, 0.500).

No. 4
This record from Alexandria describes a relaxed structure of AcSmMg6. The functional is PBE.

The formation energy is -0.06 eV per atom. The total energy comes out at -2.36 eV/atom. For the size of the total moment, the calculation gives 0.00 μB per formula unit. As for the crystal system: orthorhombic.

The space group is Amm2 (No. 38) and the conventional cell measures 5.219, 7.443 and 11.492 Å, with angles of 90.00, 90.00 and 90.00 degrees. The inequivalent atoms are Ac at (0.000, 0.000, 0.000), Sm at (0.500, 0.000, 0.278), Mg at (0.000, 0.000, 0.464), Mg at (0.000, 0.214, 0.733), Mg at (0.500, 0.000, 0.801) and Mg at (0.500, 0.208, 0.544).

No. 5
This record from Alexandria describes a relaxed structure of SrY2Be. The functional is PBE.

The formation energy is 0.54 eV per atom. The total energy comes out at -4.04 eV/atom. For the size of the total moment, the calculation gives 0.00 μB per formula unit. As for the crystal system: cubic.

The space group is F-43m (No. 216) and the conventional cell measures 7.758, 7.758 and 7.758 Å, with angles of 90.00, 90.00 and 90.00 degrees. The inequivalent atoms are Sr at (0.000, 0.000, 0.000), Y at (0.000, 0.000, 0.500), Y at (0.250, 0.250, 0.250) and Be at (0.250, 0.250, 0.750).

No. 6
This record from Alexandria describes a relaxed structure of KHfN3. The functional is PBE.

The total energy comes out at -4.78 eV/atom. For the size of the total moment, the calculation gives 0.00 μB per formula unit. The value obtained for the energy relative to the elements, uncorrected is 2.426 eV per atom. As for the crystal system: cubic.

The space group is Pm-3m (No. 221) and the conventional cell measures 3.972, 3.972 and 3.972 Å, with angles of 90.00, 90.00 and 90.00 degrees. The inequivalent atoms are K at (0.000, 0.000, 0.000), Hf at (0.500, 0.500, 0.500) and N at (0.000, 0.000, 0.500).